DFT (GGA-PBE) results for Pm12PuRh7 after structural relaxation.

a = 8.9138 Å, b = 8.9138 Å, c = 8.9138 Å
α = 107.03°, β = 107.03°, γ = 107.03°
Last column: nearest neighbours and their distance in Å.
Sites, in units of the cell vectors:
1 Pm 0.0323 0.3424 0.1154  3 Rh 2.82-2.84
2 Pm 0.1154 0.0323 0.3424  3 Rh 2.82-2.84
3 Pm 0.1893 0.7202 0.5718  3 Rh 2.81-2.83
4 Pm 0.2798 0.4282 0.8107  3 Rh 2.81-2.83
5 Pm 0.3424 0.1154 0.0323  3 Rh 2.82-2.84
6 Pm 0.4282 0.8107 0.2798  3 Rh 2.81-2.83
7 Pm 0.5718 0.1893 0.7202  3 Rh 2.81-2.83
8 Pm 0.6576 0.8846 0.9677  3 Rh 2.82-2.84
9 Pm 0.7202 0.5718 0.1893  3 Rh 2.81-2.83
10 Pm 0.8107 0.2798 0.4282  3 Rh 2.81-2.83
11 Pm 0.8846 0.9677 0.6576  3 Rh 2.82-2.84
12 Pm 0.9677 0.6576 0.8846  3 Rh 2.82-2.84
13 Pu 0.5000 0.5000 0.5000  6 Rh 2.84
14 Rh 0.0000 0.0000 0.0000  6 Pm 2.82
15 Rh 0.1530 0.3769 0.4609  5 Pm 2.81-2.84, 1 Pu 2.84
16 Rh 0.3769 0.4609 0.1530  5 Pm 2.81-2.84, 1 Pu 2.84
17 Rh 0.4609 0.1530 0.3769  5 Pm 2.81-2.84, 1 Pu 2.84
18 Rh 0.5391 0.8470 0.6231  5 Pm 2.81-2.84, 1 Pu 2.84
19 Rh 0.6231 0.5391 0.8470  5 Pm 2.81-2.84, 1 Pu 2.84
20 Rh 0.8470 0.6231 0.5391  5 Pm 2.81-2.84, 1 Pu 2.84

magnetization: 0.244 μB/atom
density: 7.6 g/cm³
crystal system: trigonal
total energy: -6.60 eV/atom

---

DFT (GGA-PBE) results for URuRhAu after structural relaxation.

a = 4.6309 Å, b = 4.6309 Å, c = 4.6309 Å
α = 60.00°, β = 60.00°, γ = 60.00°
Last column: nearest neighbours and their distance in Å.
Sites, in units of the cell vectors:
1 U 0.0000 0.0000 0.0000  4 Ru 2.84, 4 Rh 2.84
2 Ru 0.2500 0.2500 0.2500  4 U 2.84, 4 Au 2.84
3 Rh 0.7500 0.7500 0.7500  4 U 2.84, 4 Au 2.84
4 Au 0.5000 0.5000 0.5000  4 Ru 2.84, 4 Rh 2.84

magnetization: 0.218 μB/atom
density: 15.1 g/cm³
crystal system: cubic
total energy: -8.02 eV/atom

---

DFT (GGA-PBE) results for BaSi2Au after structural relaxation.

a = 4.8072 Å, b = 3.9643 Å, c = 5.6753 Å
α = 90.00°, β = 100.44°, γ = 90.00°
Last column: nearest neighbours and their distance in Å.
Sites, in units of the cell vectors:
1 Ba 0.0000 0.0000 0.0000  7 Si 3.29-3.57, 2 Au 3.63
2 Si 0.1222 0.5000 0.5068  2 Si 2.41, 2 Au 2.42-2.62
3 Si 0.4086 0.0000 0.5924  2 Si 2.41, 2 Au 2.64
4 Au 0.6156 0.5000 0.3706  4 Si 2.42-2.64

magnetization: 0.000 μB/atom
density: 6.1 g/cm³
crystal system: monoclinic
total energy: -4.27 eV/atom
uncorrected formation energy: -0.26 eV per atom

---

DFT (GGA-PBE) results for Ba2Cd6Pt3 after structural relaxation.

a = 8.5033 Å, b = 8.5033 Å, c = 4.5380 Å
α = 90.00°, β = 90.00°, γ = 120.00°
Last column: nearest neighbours and their distance in Å.
Sites, in units of the cell vectors:
1 Ba 0.3333 0.6667 0.0000  6 Pt 3.49, 9 Cd 3.55-3.79
2 Ba 0.6667 0.3333 0.0000  6 Pt 3.49, 9 Cd 3.55-3.79
3 Cd 0.0000 0.1984 0.0000  2 Pt 2.76, 2 Cd 2.92
4 Cd 0.0000 0.7110 0.5000  3 Pt 2.79-2.94
5 Cd 0.1984 0.0000 0.0000  2 Pt 2.76, 2 Cd 2.92
6 Cd 0.2890 0.2890 0.5000  3 Pt 2.79-2.94
7 Cd 0.7110 0.0000 0.5000  3 Pt 2.79-2.94
8 Cd 0.8016 0.8016 0.0000  2 Pt 2.76, 2 Cd 2.92
9 Pt 0.0000 0.3830 0.5000  5 Cd 2.76-2.94
10 Pt 0.3830 0.0000 0.5000  5 Cd 2.76-2.94
11 Pt 0.6170 0.6170 0.5000  5 Cd 2.76-2.94

magnetization: 0.000 μB/atom
density: 9.0 g/cm³
crystal system: hexagonal
total energy: -2.92 eV/atom

---

DFT (GGA-PBE) results for Tb2NdUS8 after structural relaxation.

a = 5.9750 Å, b = 6.2938 Å, c = 8.3091 Å
α = 90.00°, β = 89.95°, γ = 89.25°
Last column: nearest neighbours and their distance in Å.
Sites, in units of the cell vectors:
1 Tb 0.0004 0.9999 0.2443  6 S 2.73-2.78
2 Tb 0.9996 0.0001 0.7557  6 S 2.73-2.78
3 Nd 0.5000 0.5000 0.5000  6 S 2.83-2.94
4 U 0.5000 0.5000 0.0000  6 S 2.56-2.58
5 S 0.2517 0.3683 0.2289  1 U 2.56, 1 Tb 2.78, 1 Nd 2.83
6 S 0.2523 0.3677 0.7714  1 U 2.56, 1 Tb 2.78, 1 Nd 2.83
7 S 0.2570 0.8410 0.9996  1 U 2.58, 2 Tb 2.73
8 S 0.2847 0.9233 0.5001  1 S 2.76, 2 Tb 2.76, 1 Nd 2.94
9 S 0.7153 0.0767 0.4999  1 S 2.76, 2 Tb 2.76, 1 Nd 2.94
10 S 0.7430 0.1590 0.0004  1 U 2.58, 2 Tb 2.73
11 S 0.7477 0.6323 0.2286  1 U 2.56, 1 Tb 2.78, 1 Nd 2.83
12 S 0.7483 0.6317 0.7711  1 U 2.56, 1 Tb 2.78, 1 Nd 2.83

magnetization: 0.000 μB/atom
density: 5.1 g/cm³
crystal system: triclinic
total energy: -6.35 eV/atom
uncorrected formation energy: -1.49 eV per atom

---

DFT (GGA-PBE) results for Sm6IrRu2Cl3 after structural relaxation.

a = 6.9663 Å, b = 6.9663 Å, c = 7.8931 Å
α = 98.45°, β = 98.45°, γ = 120.04°
Last column: nearest neighbours and their distance in Å.
Sites, in units of the cell vectors:
1 Sm 0.0945 0.4318 0.7949  2 Ru 2.78, 1 Ir 2.81
2 Sm 0.2305 0.2305 0.2047  2 Ru 2.78, 1 Ir 2.81
3 Sm 0.4318 0.0945 0.7949  2 Ru 2.78, 1 Ir 2.81
4 Sm 0.5682 0.9055 0.2051  2 Ru 2.78, 1 Ir 2.81
5 Sm 0.7695 0.7695 0.7953  2 Ru 2.78, 1 Ir 2.81
6 Sm 0.9055 0.5682 0.2051  2 Ru 2.78, 1 Ir 2.81
7 Ir 0.5000 0.5000 0.0000  6 Sm 2.81
8 Ru 0.1665 0.8335 0.0000  6 Sm 2.78
9 Ru 0.8335 0.1665 0.0000  6 Sm 2.78
10 Cl 0.0000 0.0000 0.5000  6 Sm 3.20-3.23
11 Cl 0.3296 0.6704 0.5000  6 Sm 3.17-3.26
12 Cl 0.6704 0.3296 0.5000  6 Sm 3.17-3.26

magnetization: 0.000 μB/atom
density: 7.4 g/cm³
crystal system: monoclinic
total energy: -6.09 eV/atom
uncorrected formation energy: -0.98 eV per atom

---

What did the sixth record say?
DFT (GGA-PBE) results for Sm6IrRu2Cl3 after structural relaxation.

a = 6.9663 Å, b = 6.9663 Å, c = 7.8931 Å
α = 98.45°, β = 98.45°, γ = 120.04°
Last column: nearest neighbours and their distance in Å.
Sites, in units of the cell vectors:
1 Sm 0.0945 0.4318 0.7949  2 Ru 2.78, 1 Ir 2.81
2 Sm 0.2305 0.2305 0.2047  2 Ru 2.78, 1 Ir 2.81
3 Sm 0.4318 0.0945 0.7949  2 Ru 2.78, 1 Ir 2.81
4 Sm 0.5682 0.9055 0.2051  2 Ru 2.78, 1 Ir 2.81
5 Sm 0.7695 0.7695 0.7953  2 Ru 2.78, 1 Ir 2.81
6 Sm 0.9055 0.5682 0.2051  2 Ru 2.78, 1 Ir 2.81
7 Ir 0.5000 0.5000 0.0000  6 Sm 2.81
8 Ru 0.1665 0.8335 0.0000  6 Sm 2.78
9 Ru 0.8335 0.1665 0.0000  6 Sm 2.78
10 Cl 0.0000 0.0000 0.5000  6 Sm 3.20-3.23
11 Cl 0.3296 0.6704 0.5000  6 Sm 3.17-3.26
12 Cl 0.6704 0.3296 0.5000  6 Sm 3.17-3.26

magnetization: 0.000 μB/atom
density: 7.4 g/cm³
crystal system: monoclinic
total energy: -6.09 eV/atom
uncorrected formation energy: -0.98 eV per atom

---

Repeat the second record exactly.
DFT (GGA-PBE) results for URuRhAu after structural relaxation.

a = 4.6309 Å, b = 4.6309 Å, c = 4.6309 Å
α = 60.00°, β = 60.00°, γ = 60.00°
Last column: nearest neighbours and their distance in Å.
Sites, in units of the cell vectors:
1 U 0.0000 0.0000 0.0000  4 Ru 2.84, 4 Rh 2.84
2 Ru 0.2500 0.2500 0.2500  4 U 2.84, 4 Au 2.84
3 Rh 0.7500 0.7500 0.7500  4 U 2.84, 4 Au 2.84
4 Au 0.5000 0.5000 0.5000  4 Ru 2.84, 4 Rh 2.84

magnetization: 0.218 μB/atom
density: 15.1 g/cm³
crystal system: cubic
total energy: -8.02 eV/atom

---

The highest density belongs to which entry?
URuRhAu